Computed, not measured: In2BrCl after structural relaxation at the PBEsol level of DFT. Values from VASP.

Energy relative to the lowest polymorph listed for this composition ... 0.051 eV/atom
VASP energy ... -3.091 eV/atom
Symmetry ... R-3m (166)
Formation energy (no corrections) ... -630 meV/atom

Quantum ESPRESSO input file:
```
&SYSTEM
  ibrav = 0, nat = 12, ntyp = 3
/
ATOMIC_SPECIES
In 114.82 In.upf
Br 79.90 Br.upf
Cl 35.45 Cl.upf
CELL_PARAMETERS angstrom
4.501 0.000 0.000
-2.251 3.898 0.000
0.000 0.000 21.910
ATOMIC_POSITIONS crystal
In 0.000 0.000 0.246
In 0.000 0.000 0.754
In 0.333 0.667 0.421
In 0.333 0.667 0.912
In 0.667 0.333 0.088
In 0.667 0.333 0.579
Br 0.000 0.000 0.000
Br 0.333 0.667 0.667
Br 0.667 0.333 0.333
Cl 0.000 0.000 0.500
Cl 0.333 0.667 0.167
Cl 0.667 0.333 0.833
```



Computed, not measured: MgAlPb after structural relaxation at the PBEsol level of DFT. Values from VASP.

Calculated formation energy ... 0.42 eV per formula unit
VASP energy ... -3.130 eV/atom
Symmetry ... P3m1 (156)

Quantum ESPRESSO input file:
```
&SYSTEM
  ibrav = 0, nat = 3, ntyp = 3
/
ATOMIC_SPECIES
Mg 24.30 Mg.upf
Al 26.98 Al.upf
Pb 207.20 Pb.upf
CELL_PARAMETERS angstrom
4.997 0.000 0.000
-2.499 4.328 0.000
0.000 0.000 3.225
ATOMIC_POSITIONS crystal
Mg 0.000 0.000 0.000
Al 0.667 0.333 0.557
Pb 0.333 0.667 0.460
```



Computed, not measured: BaReSb2 after structural relaxation at the PBEsol level of DFT. Values from VASP.

Energy relative to the lowest polymorph listed for this composition ... 0.069 eV/atom
VASP energy ... -5.890 eV/atom
Symmetry ... P4mm (99)
Formation energy (no corrections) ... 259 meV/atom

Quantum ESPRESSO input file:
```
&SYSTEM
  ibrav = 0, nat = 4, ntyp = 3
/
ATOMIC_SPECIES
Ba 137.33 Ba.upf
Re 186.21 Re.upf
Sb 121.76 Sb.upf
CELL_PARAMETERS angstrom
3.580 0.000 0.000
0.000 3.580 0.000
0.000 0.000 7.908
ATOMIC_POSITIONS crystal
Ba 0.000 0.000 0.000
Re 0.500 0.500 0.318
Sb 0.000 0.000 0.441
Sb 0.500 0.500 0.681
```



Computed, not measured: Cs8Na4Y3HoCl24 after structural relaxation at the PBEsol level of DFT. Values from VASP.

VASP energy ... -4.309 eV/atom
Symmetry ... Pmmm (47)
Formation energy (no corrections) ... -2141 meV/atom

Quantum ESPRESSO input file:
```
&SYSTEM
  ibrav = 0, nat = 40, ntyp = 5
/
ATOMIC_SPECIES
Cs 132.91 Cs.upf
Na 22.99 Na.upf
Y 88.91 Y.upf
Ho 164.93 Ho.upf
Cl 35.45 Cl.upf
CELL_PARAMETERS angstrom
7.526 0.000 0.000
0.000 10.644 0.000
0.000 0.000 15.055
ATOMIC_POSITIONS crystal
Cs 0.000 0.250 0.000
Cs 0.000 0.250 0.500
Cs 0.000 0.750 0.000
Cs 0.000 0.750 0.500
Cs 0.500 0.250 0.250
Cs 0.500 0.250 0.750
Cs 0.500 0.750 0.250
Cs 0.500 0.750 0.750
Na 0.000 0.000 0.250
Na 0.000 0.000 0.750
Na 0.500 0.500 0.000
Na 0.500 0.500 0.500
Y 0.000 0.500 0.250
Y 0.000 0.500 0.750
Y 0.500 0.000 0.000
Ho 0.500 0.000 0.500
Cl 0.000 0.255 0.250
Cl 0.000 0.255 0.750
Cl 0.000 0.745 0.250
Cl 0.000 0.745 0.750
Cl 0.244 0.500 0.128
Cl 0.244 0.500 0.872
Cl 0.245 0.500 0.372
Cl 0.245 0.500 0.628
Cl 0.255 0.000 0.122
Cl 0.255 0.000 0.878
Cl 0.257 0.000 0.378
Cl 0.257 0.000 0.622
Cl 0.500 0.243 0.500
Cl 0.500 0.244 0.000
Cl 0.500 0.756 0.000
Cl 0.500 0.757 0.500
Cl 0.743 0.000 0.378
Cl 0.743 0.000 0.622
Cl 0.745 0.000 0.122
Cl 0.745 0.000 0.878
Cl 0.755 0.500 0.372
Cl 0.755 0.500 0.628
Cl 0.756 0.500 0.128
Cl 0.756 0.500 0.872
```



Computed, not measured: SrTaW2 after structural relaxation at the PBEsol level of DFT. Values from VASP.

Energy relative to the lowest polymorph listed for this composition ... 0.150 eV/atom
Calculated formation energy ... 4.08 eV per formula unit
VASP energy ... -9.482 eV/atom
Symmetry ... C2/m (12)

Quantum ESPRESSO input file:
```
&SYSTEM
  ibrav = 0, nat = 8, ntyp = 3
/
ATOMIC_SPECIES
Sr 87.62 Sr.upf
Ta 180.95 Ta.upf
W 183.84 W.upf
CELL_PARAMETERS angstrom
9.381 0.000 0.000
0.000 2.728 0.000
-0.096 0.000 6.434
ATOMIC_POSITIONS crystal
Sr 0.000 0.000 0.000
Sr 0.500 0.500 0.000
Ta 0.000 0.500 0.500
Ta 0.500 0.000 0.500
W 0.245 0.000 0.688
W 0.255 0.500 0.312
W 0.745 0.500 0.688
W 0.755 0.000 0.312
```



Computed, not measured: Hf2Ni2Sn after structural relaxation at the PBEsol level of DFT. Values from VASP.

Calculated formation energy ... -3.11 eV per formula unit
VASP energy ... -8.138 eV/atom
Symmetry ... P4_2/mnm (136)

Quantum ESPRESSO input file:
```
&SYSTEM
  ibrav = 0, nat = 20, ntyp = 3
/
ATOMIC_SPECIES
Hf 178.49 Hf.upf
Ni 58.69 Ni.upf
Sn 118.71 Sn.upf
CELL_PARAMETERS angstrom
6.973 0.000 0.000
0.000 6.973 0.000
0.000 0.000 6.679
ATOMIC_POSITIONS crystal
Hf 0.152 0.152 0.000
Hf 0.181 0.181 0.500
Hf 0.319 0.681 0.000
Hf 0.348 0.652 0.500
Hf 0.652 0.348 0.500
Hf 0.681 0.319 0.000
Hf 0.819 0.819 0.500
Hf 0.848 0.848 0.000
Ni 0.127 0.873 0.286
Ni 0.127 0.873 0.714
Ni 0.373 0.373 0.214
Ni 0.373 0.373 0.786
Ni 0.627 0.627 0.214
Ni 0.627 0.627 0.786
Ni 0.873 0.127 0.286
Ni 0.873 0.127 0.714
Sn 0.000 0.500 0.250
Sn 0.000 0.500 0.750
Sn 0.500 0.000 0.250
Sn 0.500 0.000 0.750
```



Computed, not measured: Sb3Au2 after structural relaxation at the PBEsol level of DFT. Values from VASP.

VASP energy ... -4.305 eV/atom
Symmetry ... Fdd2 (43)
Formation energy (no corrections) ... -1 meV/atom

Quantum ESPRESSO input file:
```
&SYSTEM
  ibrav = 0, nat = 10, ntyp = 2
/
ATOMIC_SPECIES
Sb 121.76 Sb.upf
Au 196.97 Au.upf
CELL_PARAMETERS angstrom
0.000 8.308 2.118
6.993 0.000 2.118
6.993 8.308 0.000
ATOMIC_POSITIONS crystal
Sb 0.000 0.000 0.000
Sb 0.068 0.738 0.752
Sb 0.250 0.250 0.250
Sb 0.498 0.808 0.182
Sb 0.738 0.068 0.442
Sb 0.808 0.498 0.512
Au 0.343 0.517 0.752
Au 0.498 0.862 0.907
Au 0.517 0.343 0.388
Au 0.862 0.498 0.733
```



Computed, not measured: SrMoAu2Br after structural relaxation at the PBEsol level of DFT. Values from VASP.

VASP energy ... -3.094 eV/atom
Symmetry ... P4/mmm (123)
Formation energy (no corrections) ... 1571 meV/atom

Quantum ESPRESSO input file:
```
&SYSTEM
  ibrav = 0, nat = 5, ntyp = 4
/
ATOMIC_SPECIES
Sr 87.62 Sr.upf
Mo 95.94 Mo.upf
Au 196.97 Au.upf
Br 79.90 Br.upf
CELL_PARAMETERS angstrom
5.423 0.000 0.000
0.000 5.423 0.000
0.000 0.000 6.719
ATOMIC_POSITIONS crystal
Sr 0.000 0.000 0.000
Mo 0.000 0.000 0.500
Au 0.000 0.500 0.000
Au 0.500 0.000 0.000
Br 0.500 0.500 0.500
```



Computed, not measured: AlAg7 after structural relaxation at the PBEsol level of DFT. Values from VASP.

Energy relative to the lowest polymorph listed for this composition ... 0.014 eV/atom
Calculated formation energy ... -0.29 eV per formula unit
VASP energy ... -3.445 eV/atom
Symmetry ... P2/m (10)

Quantum ESPRESSO input file:
```
&SYSTEM
  ibrav = 0, nat = 8, ntyp = 2
/
ATOMIC_SPECIES
Al 26.98 Al.upf
Ag 107.87 Ag.upf
CELL_PARAMETERS angstrom
4.946 0.000 0.000
0.000 2.853 0.000
-1.716 0.000 9.297
ATOMIC_POSITIONS crystal
Al 0.000 0.000 0.000
Ag 0.000 0.500 0.500
Ag 0.243 0.500 0.243
Ag 0.250 0.000 0.751
Ag 0.500 0.000 0.500
Ag 0.500 0.500 0.000
Ag 0.750 0.000 0.249
Ag 0.757 0.500 0.757
```



Computed, not measured: ScAs2Os after structural relaxation at the PBEsol level of DFT. Values from VASP.

Energy relative to the lowest polymorph listed for this composition ... 0.000 eV/atom
Calculated formation energy ... -1.79 eV per formula unit
VASP energy ... -7.706 eV/atom
Symmetry ... R-3m (166)

Quantum ESPRESSO input file:
```
&SYSTEM
  ibrav = 0, nat = 12, ntyp = 3
/
ATOMIC_SPECIES
Sc 44.96 Sc.upf
As 74.92 As.upf
Os 190.23 Os.upf
CELL_PARAMETERS angstrom
3.879 0.000 0.000
-1.939 3.359 0.000
0.000 0.000 15.912
ATOMIC_POSITIONS crystal
Sc 0.000 0.000 0.000
Sc 0.333 0.667 0.667
Sc 0.667 0.333 0.333
As 0.000 0.000 0.238
As 0.000 0.000 0.762
As 0.333 0.667 0.429
As 0.333 0.667 0.904
As 0.667 0.333 0.096
As 0.667 0.333 0.571
Os 0.000 0.000 0.500
Os 0.333 0.667 0.167
Os 0.667 0.333 0.833
```



Computed, not measured: LiNiPS2 after structural relaxation at the PBEsol level of DFT. Values from VASP.

VASP energy ... -3.702 eV/atom
Symmetry ... P4/mmm (123)
Formation energy (no corrections) ... 835 meV/atom

Quantum ESPRESSO input file:
```
&SYSTEM
  ibrav = 0, nat = 5, ntyp = 4
/
ATOMIC_SPECIES
Li 6.94 Li.upf
Ni 58.69 Ni.upf
P 30.97 P.upf
S 32.06 S.upf
CELL_PARAMETERS angstrom
4.266 0.000 0.000
0.000 4.266 0.000
0.000 0.000 4.109
ATOMIC_POSITIONS crystal
Li 0.000 0.000 0.000
Ni 0.500 0.500 0.500
P 0.000 0.000 0.500
S 0.000 0.500 0.000
S 0.500 0.000 0.000
```



Computed, not measured: Zr2InTc after structural relaxation at the PBEsol level of DFT. Values from VASP.

Energy relative to the lowest polymorph listed for this composition ... 0.288 eV/atom
Calculated formation energy ... -0.45 eV per formula unit
VASP energy ... -8.219 eV/atom
Symmetry ... F-43m (216)

Quantum ESPRESSO input file:
```
&SYSTEM
  ibrav = 0, nat = 16, ntyp = 3
/
ATOMIC_SPECIES
Zr 91.22 Zr.upf
In 114.82 In.upf
Tc 98.00 Tc.upf
CELL_PARAMETERS angstrom
6.675 0.000 0.000
0.000 6.675 0.000
0.000 0.000 6.675
ATOMIC_POSITIONS crystal
Zr 0.000 0.000 0.000
Zr 0.000 0.500 0.500
Zr 0.250 0.250 0.250
Zr 0.250 0.750 0.750
Zr 0.500 0.000 0.500
Zr 0.500 0.500 0.000
Zr 0.750 0.250 0.750
Zr 0.750 0.750 0.250
In 0.000 0.000 0.500
In 0.000 0.500 0.000
In 0.500 0.000 0.000
In 0.500 0.500 0.500
Tc 0.250 0.250 0.750
Tc 0.250 0.750 0.250
Tc 0.750 0.250 0.250
Tc 0.750 0.750 0.750
```



- VASP energy of number 4 (Cs8Na4Y3HoCl24)?
  -4.309 eV/atom